This record from Alexandria describes crystalline Ta2RuW at its relaxed geometry. The functional is PBE.

## Properties
Mass density (g/cm³): 16.3
Calculated formation energy (eV/atom): -0.11
Symmetry: No. 10
DOS at the Fermi energy (states/eV/cell): 2.93

Unit cell a=4.4476 b=2.8396 c=5.3051 alpha=80.41 beta=90.00 gamma=90.00
Positions (direct):
Ru  0.5000  0.7500  0.7500
Ta  0.0000  0.0027  0.0008
Ta  0.0000  0.4973  0.4992
W  0.5000  0.2500  0.2500